This record from Alexandria via LeMat-Bulk describes crystalline LiLa2Ru at its relaxed geometry. The functional is GGA-PBE.

For the energy of formation from the pure elements, the calculation gives -0.1066 eV per atom.

abc: 7.087 4.093 9.168
angles: 90.00 105.15 90.00
Space group C2/m (No. 12)
Inequivalent atoms, fractional coordinates:
Li 0.000 0.000 0.000 (multiplicity 2)
La 0.226 0.000 0.675 (multiplicity 4)
Ru 0.000 0.500 0.500 (multiplicity 2)

This record from Alexandria via LeMat-Bulk describes crystalline LiLa2Ru at its relaxed geometry. The functional is GGA-PBE.

For the energy of formation from the pure elements, the calculation gives -0.0388 eV per atom.

abc: 7.204 7.205 3.741
angles: 90.00 90.13 90.00
Space group C2/m (No. 12)
Inequivalent atoms, fractional coordinates:
Li 0.000 0.000 0.000 (multiplicity 2)
La 0.250 0.250 0.500 (multiplicity 4)
Ru 0.000 0.500 0.000 (multiplicity 2)

This record from Alexandria via LeMat-Bulk describes crystalline Li2LaRu at its relaxed geometry. The functional is GGA-PBE.

For the energy of formation from the pure elements, the calculation gives 0.4862 eV per atom.

abc: 2.9614 2.9614 30.9198
angles: 90.00 90.00 120.00
Space group R-3m (No. 166, hexagonal axes)
Inequivalent atoms, fractional coordinates:
Li 0.0000 0.0000 0.2329 (multiplicity 6)
La 0.0000 0.0000 0.0000 (multiplicity 3)
Ru 0.0000 0.0000 0.5000 (multiplicity 3)

This record from Alexandria via LeMat-Bulk describes crystalline LiLa2Ru at its relaxed geometry. The functional is GGA-PBE.

For the energy of formation from the pure elements, the calculation gives -0.1035 eV per atom.

abc: 3.533 3.616 8.454
angles: 90.00 90.00 90.00
Space group Pmmm (No. 47)
Inequivalent atoms, fractional coordinates:
Li 0.000 0.000 0.000 (multiplicity 1)
La 0.500 0.500 0.297 (multiplicity 2)
Ru 0.000 0.000 0.500 (multiplicity 1)

This record from Alexandria via LeMat-Bulk describes crystalline LiLa3Ru at its relaxed geometry. The functional is GGA-PBE.

For the energy of formation from the pure elements, the calculation gives -0.1062 eV per atom.

abc: 12.620 15.224 6.979
angles: 90.00 92.25 90.00
Space group C2/c (No. 15)
Inequivalent atoms, fractional coordinates:
Li 0.109 0.061 0.111 (multiplicity 8)
La 0.118 0.169 0.586 (multiplicity 8)
La 0.127 0.302 0.095 (multiplicity 8)
La 0.127 0.435 0.594 (multiplicity 8)
Ru 0.000 0.284 0.750 (multiplicity 4)
Ru 0.000 0.426 0.250 (multiplicity 4)

This record from Alexandria via LeMat-Bulk describes crystalline LiLa3Ru at its relaxed geometry. The functional is GGA-PBE.

For the energy of formation from the pure elements, the calculation gives -0.1060 eV per atom.

abc: 18.487 4.073 8.535
angles: 90.00 108.56 90.00
Space group C2/m (No. 12)
Inequivalent atoms, fractional coordinates:
Li 0.227 0.000 0.369 (multiplicity 4)
La 0.034 0.500 0.235 (multiplicity 4)
La 0.115 0.000 0.637 (multiplicity 4)
La 0.173 0.500 0.033 (multiplicity 4)
Ru 0.065 0.000 0.935 (multiplicity 4)

no.,polymorph energy (0 for the lowest one) (eV/atom)
1,0.0183
2,0.0861
3,0.4941
4,0.0214
5,0.0598
6,0.0600